{
  "formula": "HgB3Pb",
  "functional": "meta-GGA SCAN",
  "state": "single point on PBEsol structure",
  "lattice": [[4.643, 0.000, 0.000], [0.000, 4.643, 0.000], [0.000, 0.000, 4.643]],
  "species": ["Hg", "B", "B", "B", "Pb"],
  "fractional_positions": [[0.000, 0.000, 0.000], [0.000, 0.500, 0.500], [0.500, 0.000, 0.500], [0.500, 0.500, 0.000], [0.500, 0.500, 0.500]],
  "space_group": "Pm-3m, No. 221",
  "e_form_mev_per_atom": 2482
}


{
  "formula": "HgBPd3",
  "functional": "meta-GGA SCAN",
  "state": "single point on PBEsol structure",
  "lattice": [[4.164, 0.000, 0.000], [0.000, 4.164, 0.000], [0.000, 0.000, 4.164]],
  "species": ["Hg", "B", "Pd", "Pd", "Pd"],
  "fractional_positions": [[0.000, 0.000, 0.000], [0.500, 0.500, 0.500], [0.000, 0.500, 0.500], [0.500, 0.000, 0.500], [0.500, 0.500, 0.000]],
  "space_group": "Pm-3m, No. 221",
  "e_form_mev_per_atom": -207
}


{
  "formula": "HgB2Pd",
  "functional": "meta-GGA SCAN",
  "state": "single point on PBEsol structure",
  "lattice": [[-2.572, 2.572, 4.653], [2.572, -2.572, 4.653], [2.572, 2.572, -4.653]],
  "species": ["Hg", "Hg", "B", "B", "B", "B", "Pd", "Pd"],
  "fractional_positions": [[0.000, 0.000, 0.000], [0.750, 0.250, 0.500], [0.169, 0.625, 0.044], [0.375, 0.419, 0.544], [0.581, 0.125, 0.956], [0.875, 0.831, 0.456], [0.250, 0.750, 0.500], [0.500, 0.500, 0.000]],
  "space_group": "I-42d, No. 122",
  "e_form_mev_per_atom": 866
}


{
  "formula": "ZrHg2BPd",
  "functional": "meta-GGA SCAN",
  "state": "single point on PBEsol structure",
  "lattice": [[4.999, 0.000, 0.000], [0.000, 4.999, 0.000], [0.000, 0.000, 4.887]],
  "species": ["Zr", "Hg", "Hg", "B", "Pd"],
  "fractional_positions": [[0.000, 0.000, 0.000], [0.000, 0.500, 0.500], [0.500, 0.000, 0.500], [0.500, 0.500, 0.000], [0.000, 0.000, 0.500]],
  "space_group": "P4/mmm, No. 123",
  "e_form_mev_per_atom": 1134
}